[1]
First-principles (PBE) data for an optimized crystal structure of KCdGa2Ge, as listed in Alexandria.

Summary:
VASP energy: -2.652 eV per atom
energy relative to the elements: -115 meV per atom
crystal system: orthorhombic
Fermi-level density of states: 1.10 states/eV per cell

Structure (CIF):
```
data_KCdGa2Ge
_chemical_formula_sum 'K1 Cd1 Ga2 Ge1'
_cell_length_a 4.642
_cell_length_b 4.571
_cell_length_c 6.523
_cell_angle_alpha 110.51
_cell_angle_beta 110.84
_cell_angle_gamma 90.00
_symmetry_space_group_name_H-M 'P 1'
_symmetry_Int_Tables_number 1
loop_
_symmetry_equiv_pos_as_xyz
'x,y,z'
loop_
_atom_site_label
_atom_site_type_symbol
_atom_site_fract_x
_atom_site_fract_y
_atom_site_fract_z
Ga1 Ga 0.055 0.055 0.111
Cd1 Cd 0.193 0.693 0.387
Ga2 Ga 0.691 0.191 0.382
K1 K 0.443 0.443 0.886
Ge1 Ge 0.829 0.829 0.658
```

[2]
First-principles (PBE) data for an optimized crystal structure of K8H6S, as listed in Alexandria.

Summary:
VASP energy: -2.523 eV per atom
crystal system: trigonal
Fermi-level density of states: 0.00 states/eV per cell

Structure (CIF):
```
data_K8H6S
_chemical_formula_sum 'K8 H6 S1'
_cell_length_a 7.500
_cell_length_b 7.500
_cell_length_c 7.500
_cell_angle_alpha 100.82
_cell_angle_beta 100.82
_cell_angle_gamma 100.82
_symmetry_space_group_name_H-M 'P 1'
_symmetry_Int_Tables_number 1
loop_
_symmetry_equiv_pos_as_xyz
'x,y,z'
loop_
_atom_site_label
_atom_site_type_symbol
_atom_site_fract_x
_atom_site_fract_y
_atom_site_fract_z
H1 H 0.430 0.882 0.679
S1 S 0.000 0.000 0.000
H2 H 0.321 0.570 0.118
K1 K 0.690 0.690 0.690
K2 K 0.795 0.158 0.670
K3 K 0.330 0.205 0.842
K4 K 0.310 0.310 0.310
H3 H 0.679 0.430 0.882
K5 K 0.670 0.795 0.158
K6 K 0.842 0.330 0.205
H4 H 0.570 0.118 0.321
K7 K 0.158 0.670 0.795
H5 H 0.118 0.321 0.570
H6 H 0.882 0.679 0.430
K8 K 0.205 0.842 0.330
```

[3]
First-principles (PBE) data for an optimized crystal structure of Ba2MgZn2Ag, as listed in Alexandria.

Summary:
VASP energy: -1.964 eV per atom
energy relative to the elements: -157 meV per atom
crystal system: orthorhombic
Fermi-level density of states: 9.79 states/eV per cell

Structure (CIF):
```
data_Ba2MgZn2Ag
_chemical_formula_sum 'Ba4 Mg2 Zn4 Ag2'
_cell_length_a 6.711
_cell_length_b 6.891
_cell_length_c 9.269
_cell_angle_alpha 111.82
_cell_angle_beta 111.22
_cell_angle_gamma 90.00
_symmetry_space_group_name_H-M 'P 1'
_symmetry_Int_Tables_number 1
loop_
_symmetry_equiv_pos_as_xyz
'x,y,z'
loop_
_atom_site_label
_atom_site_type_symbol
_atom_site_fract_x
_atom_site_fract_y
_atom_site_fract_z
Zn1 Zn 0.657 0.406 0.812
Ag1 Ag 0.000 0.250 0.000
Zn2 Zn 0.845 0.094 0.188
Ba1 Ba 0.925 0.664 0.329
Ba2 Ba 0.597 0.836 0.671
Mg1 Mg 0.500 0.250 0.000
Ba3 Ba 0.403 0.164 0.329
Mg2 Mg 0.500 0.750 0.000
Zn3 Zn 0.343 0.594 0.188
Ag2 Ag 0.000 0.750 0.000
Ba4 Ba 0.075 0.336 0.671
Zn4 Zn 0.155 0.906 0.812
```

[4]
First-principles (PBE) data for an optimized crystal structure of TmU2C3, as listed in Alexandria.

Summary:
VASP energy: -9.176 eV per atom
energy relative to the elements: -56 meV per atom
energy above the lowest structure with this stoichiometry: 1.08 eV/f.u.
crystal system: orthorhombic
Fermi-level density of states: 13.94 states/eV per cell

Structure (CIF):
```
data_TmU2C3
_chemical_formula_sum 'Tm2 U4 C6'
_cell_length_a 3.262
_cell_length_b 6.092
_cell_length_c 9.010
_cell_angle_alpha 90.00
_cell_angle_beta 90.00
_cell_angle_gamma 90.00
_symmetry_space_group_name_H-M 'P 1'
_symmetry_Int_Tables_number 1
loop_
_symmetry_equiv_pos_as_xyz
'x,y,z'
loop_
_atom_site_label
_atom_site_type_symbol
_atom_site_fract_x
_atom_site_fract_y
_atom_site_fract_z
C1 C 0.000 0.742 0.500
Tm1 Tm 0.000 0.492 0.072
C2 C 0.500 0.747 0.186
U1 U 0.000 0.992 0.282
C3 C 0.000 0.242 0.500
C4 C 0.500 0.236 0.186
U2 U 0.500 0.992 0.609
C5 C 0.500 0.247 0.814
C6 C 0.500 0.736 0.814
U3 U 0.500 0.492 0.391
Tm2 Tm 0.000 0.992 0.928
U4 U 0.000 0.492 0.718
```

[5]
First-principles (PBE) data for an optimized crystal structure of PmGdCdAu, as listed in Alexandria.

Summary:
VASP energy: -6.292 eV per atom
energy relative to the elements: -536 meV per atom
crystal system: cubic
Fermi-level density of states: 4.17 states/eV per cell

Structure (CIF):
```
data_PmGdCdAu
_chemical_formula_sum 'Pm1 Gd1 Cd1 Au1'
_cell_length_a 5.274
_cell_length_b 5.274
_cell_length_c 5.274
_cell_angle_alpha 60.00
_cell_angle_beta 60.00
_cell_angle_gamma 60.00
_symmetry_space_group_name_H-M 'P 1'
_symmetry_Int_Tables_number 1
loop_
_symmetry_equiv_pos_as_xyz
'x,y,z'
loop_
_atom_site_label
_atom_site_type_symbol
_atom_site_fract_x
_atom_site_fract_y
_atom_site_fract_z
Au1 Au 0.250 0.250 0.250
Gd1 Gd 0.000 0.000 0.000
Pm1 Pm 0.500 0.500 0.500
Cd1 Cd 0.750 0.750 0.750
```

[6]
First-principles (PBE) data for an optimized crystal structure of K4Dy3ScO8, as listed in Alexandria.

Summary:
VASP energy: -6.760 eV per atom
crystal system: trigonal
Fermi-level density of states: 0.00 states/eV per cell

Structure (CIF):
```
data_K4Dy3ScO8
_chemical_formula_sum 'K4 Dy3 Sc1 O8'
_cell_length_a 6.855
_cell_length_b 7.390
_cell_length_c 6.855
_cell_angle_alpha 117.64
_cell_angle_beta 120.00
_cell_angle_gamma 90.00
_symmetry_space_group_name_H-M 'P 1'
_symmetry_Int_Tables_number 1
loop_
_symmetry_equiv_pos_as_xyz
'x,y,z'
loop_
_atom_site_label
_atom_site_type_symbol
_atom_site_fract_x
_atom_site_fract_y
_atom_site_fract_z
K1 K 0.000 0.000 0.000
Dy1 Dy 0.500 0.500 0.000
O1 O 0.778 0.318 0.039
Dy2 Dy 0.500 0.500 0.500
O2 O 0.271 0.313 0.542
O3 O 0.222 0.682 0.961
Sc1 Sc 0.000 0.500 0.000
O4 O 0.739 0.682 0.961
K2 K 0.000 0.000 0.500
O5 O 0.778 0.318 0.557
O6 O 0.261 0.318 0.039
O7 O 0.729 0.687 0.458
O8 O 0.222 0.682 0.443
K3 K 0.500 0.000 0.000
K4 K 0.500 0.000 0.500
Dy3 Dy 0.000 0.500 0.500
```

[7]
First-principles (PBE) data for an optimized crystal structure of Na3In3Au2, as listed in Alexandria.

Summary:
VASP energy: -2.592 eV per atom
energy relative to the elements: -251 meV per atom
crystal system: orthorhombic
Fermi-level density of states: 7.18 states/eV per cell

Structure (CIF):
```
data_Na3In3Au2
_chemical_formula_sum 'Na6 In6 Au4'
_cell_length_a 4.556
_cell_length_b 5.942
_cell_length_c 16.768
_cell_angle_alpha 90.00
_cell_angle_beta 90.00
_cell_angle_gamma 112.54
_symmetry_space_group_name_H-M 'P 1'
_symmetry_Int_Tables_number 1
loop_
_symmetry_equiv_pos_as_xyz
'x,y,z'
loop_
_atom_site_label
_atom_site_type_symbol
_atom_site_fract_x
_atom_site_fract_y
_atom_site_fract_z
Au1 Au 0.779 0.558 0.889
Au2 Au 0.779 0.558 0.611
Na1 Na 0.641 0.281 0.250
In1 In 0.648 0.296 0.750
Na2 Na 0.359 0.719 0.750
In2 In 0.352 0.704 0.250
In3 In 0.633 0.266 0.034
In4 In 0.367 0.734 0.534
Na3 Na 0.066 0.133 0.886
Na4 Na 0.934 0.867 0.114
Na5 Na 0.934 0.867 0.386
Na6 Na 0.066 0.133 0.614
In5 In 0.633 0.266 0.466
Au3 Au 0.221 0.442 0.389
In6 In 0.367 0.734 0.966
Au4 Au 0.221 0.442 0.111
```

[8]
First-principles (PBE) data for an optimized crystal structure of Cs2NpHg2Br6, as listed in Alexandria.

Summary:
VASP energy: -3.536 eV per atom
crystal system: monoclinic
Fermi-level density of states: 5.18 states/eV per cell

Structure (CIF):
```
data_Cs2NpHg2Br6
_chemical_formula_sum 'Cs2 Np1 Hg2 Br6'
_cell_length_a 7.848
_cell_length_b 10.001
_cell_length_c 8.807
_cell_angle_alpha 124.13
_cell_angle_beta 90.00
_cell_angle_gamma 113.10
_symmetry_space_group_name_H-M 'P 1'
_symmetry_Int_Tables_number 1
loop_
_symmetry_equiv_pos_as_xyz
'x,y,z'
loop_
_atom_site_label
_atom_site_type_symbol
_atom_site_fract_x
_atom_site_fract_y
_atom_site_fract_z
Hg1 Hg 0.096 0.192 0.209
Br1 Br 0.662 0.830 0.214
Br2 Br 0.168 0.830 0.214
Br3 Br 0.652 0.303 0.501
Br4 Br 0.832 0.170 0.786
Cs1 Cs 0.749 0.498 0.230
Br5 Br 0.348 0.697 0.499
Br6 Br 0.338 0.170 0.786
Hg2 Hg 0.904 0.808 0.791
Cs2 Cs 0.251 0.502 0.770
Np1 Np 0.500 0.000 0.500
```